Entry 1:
# Ba3Cu2O4F2

An optimized crystal structure of Ba3Cu2O4F2 (PBE-GGA, Alexandria).

## Properties
V: 16.27 Å³/atom
ΔE_f (raw): -2199 meV/atom

Cell: 3.989 3.989 11.591 Å, 99.91 99.91 90.00°
Sites, in units of the cell vectors:
Ba (0.000, 0.000, 0.000)
Ba (0.170, 0.170, 0.341)
Ba (0.830, 0.830, 0.659)
Cu (0.415, 0.415, 0.829)
Cu (0.585, 0.585, 0.171)
O (0.413, 0.913, 0.826)
O (0.913, 0.413, 0.826)
O (0.087, 0.587, 0.174)
O (0.587, 0.087, 0.174)
F (0.293, 0.293, 0.587)
F (0.707, 0.707, 0.413)


Entry 2:
# Ba2YCu3O6F

An optimized crystal structure of Ba2YCu3O6F (PBE-GGA, Alexandria).

## Properties
V: 14.14 Å³/atom
ΔE_f (raw): -1939 meV/atom

Cell: 3.817 3.996 12.048 Å, 90.00 90.00 90.00°
Sites, in units of the cell vectors:
Ba (0.500, 0.500, 0.194)
Ba (0.500, 0.500, 0.806)
Y (0.500, 0.500, 0.500)
Cu (0.000, 0.000, 0.362)
Cu (0.000, 0.000, 0.638)
Cu (0.000, 0.000, 0.000)
O (0.500, 0.000, 0.383)
O (0.500, 0.000, 0.617)
O (0.000, 0.500, 0.378)
O (0.000, 0.500, 0.622)
O (0.000, 0.000, 0.155)
O (0.000, 0.000, 0.845)
F (0.000, 0.500, 0.000)


Entry 3:
# BaCuPb2F8

An optimized crystal structure of BaCuPb2F8 (PBE-GGA, Alexandria).

## Properties
V: 17.92 Å³/atom
ΔE_f (raw): -2529 meV/atom

Cell: 4.421 5.967 8.234 Å, 94.66 84.75 94.27°
Sites, in units of the cell vectors:
Ba (0.000, 0.000, 0.500)
Cu (0.000, 0.000, 0.000)
Pb (0.451, 0.514, 0.759)
Pb (0.549, 0.486, 0.241)
F (0.046, 0.650, 0.277)
F (0.659, 0.778, 0.037)
F (0.921, 0.151, 0.210)
F (0.954, 0.350, 0.723)
F (0.341, 0.222, 0.963)
F (0.079, 0.849, 0.790)
F (0.496, 0.737, 0.499)
F (0.504, 0.263, 0.501)


Entry 4:
# BaCu2PbF8

An optimized crystal structure of BaCu2PbF8 (PBE-GGA, Alexandria).

## Properties
V: 21.34 Å³/atom
ΔE_f (raw): -2157 meV/atom

Cell: 6.151 6.151 7.816 Å, 90.00 90.00 120.00°
Sites, in units of the cell vectors:
Ba (0.000, 0.000, 0.500)
Cu (0.333, 0.667, 0.706)
Cu (0.667, 0.333, 0.294)
Pb (0.000, 0.000, 0.000)
F (0.158, 0.315, 0.776)
F (0.158, 0.842, 0.776)
F (0.685, 0.842, 0.776)
F (0.315, 0.158, 0.224)
F (0.667, 0.333, 0.531)
F (0.333, 0.667, 0.469)
F (0.842, 0.685, 0.224)
F (0.842, 0.158, 0.224)